(1)
Crystalline PrUBr6 at its relaxed geometry. Source: Alexandria, functional GGA-PBE.

extended XYZ file:
```
8
Lattice="-3.3922 3.9036 5.4086 -2.5535 -6.6554 -2.2767 5.6601 -2.3747 3.8803" Properties=species:S:1:pos:R:3 pbc="T T T"
Pr 0.0000 0.0000 0.0000
U -0.1427 -2.5632 3.5061
Br -0.0647 -5.4206 4.0913
Br -0.3168 -2.2467 6.4014
Br 0.0313 -2.8797 0.6108
Br -0.2208 0.2941 2.9209
Br 2.7462 -2.4503 3.6662
Br -3.0316 -2.6762 3.3460
```

Calculated values
crystal system = monoclinic
VASP energy = -0.176 Ha/atom
ΔE_f (raw) = -1539 meV per atom

---

(2)
Crystalline PrVBr at its relaxed geometry. Source: Alexandria, functional GGA-PBE.

extended XYZ file:
```
6
Lattice="3.2112 -0.0683 -1.2410 -0.0712 3.9992 -0.5052 -4.1815 -2.2974 14.8688" Properties=species:S:1:pos:R:3 pbc="T T T"
V -0.0950 -0.1496 6.7239
V -0.9464 1.7831 6.3987
Pr 0.4709 -0.5576 3.6700
Pr -1.5123 2.1910 9.4527
Br -2.4733 0.4329 11.8999
Br 1.4319 1.2005 1.2228
```

Calculated values
crystal system = triclinic
VASP energy = -0.208 Ha/atom
ΔE_f (raw) = -465 meV per atom